1.
The following is a PBE calculation of Na3Tl4CuCl8 after structural relaxation, from the Alexandria database.

Results
Space-group type: C2/m
Formation energy from raw total energies (eV/atom): -1.174

Cell lengths 8.159, 8.719, 8.491 Å; angles 119.16, 118.71, 90.00 degrees
Element x y z (fractional)
Tl  0.000  0.000  0.500
Tl  0.000  0.000  0.000
Tl  0.500  0.000  0.000
Tl  0.500  0.000  0.500
Cu  0.000  0.500  0.000
Na  0.500  0.500  0.500
Na  0.000  0.500  0.500
Na  0.500  0.500  0.000
Cl  0.262  0.290  0.525
Cl  0.768  0.693  0.983
Cl  0.786  0.307  0.017
Cl  0.747  0.276  0.494
Cl  0.738  0.710  0.475
Cl  0.253  0.724  0.506
Cl  0.214  0.693  0.983
Cl  0.232  0.307  0.017

---

2.
The following is a PBE calculation of CoNi2Rh after structural relaxation, from the Alexandria database.

Results
Energy relative to the elements (kJ/mol of formula units): 17
Space-group type: P2/m
Polymorph energy (0 for the lowest one) (meV/atom): 32.3

Cell lengths 3.629, 2.570, 5.720 Å; angles 63.55, 90.00, 90.00 degrees
Element x y z (fractional)
Co  0.500  0.750  0.750
Rh  0.500  0.250  0.250
Ni  0.000  0.011  0.988
Ni  0.000  0.489  0.512

---

Number 1: V 440.5 Å³/cell. Number 2: V 47.8 Å³/cell.